# 1
Sm3Dy3Ge4 | PBE | relaxed

Lattice parameters (Å, degrees): 4.318 7.654 7.654 89.98 90.00 90.00
Atoms (fractional coordinates):
Dy 0.500 0.174 0.826
Dy 0.000 0.501 0.000
Dy 0.000 0.000 0.499
Ge 0.000 0.880 0.875
Ge 0.000 0.125 0.120
Ge 0.000 0.623 0.377
Ge 0.000 0.373 0.627
Sm 0.500 0.325 0.327
Sm 0.500 0.827 0.173
Sm 0.500 0.673 0.675

space-group type	No. 38
E_form	-7.81	eV per formula unit
Fermi-level density of states	8.93	states/eV per cell

=====

# 2
Sm3DyGe4 | PBE | relaxed

Lattice parameters (Å, degrees): 4.108 6.430 8.870 111.26 103.39 90.00
Atoms (fractional coordinates):
Sm 0.000 0.500 0.000
Sm 0.805 0.805 0.609
Sm 0.195 0.195 0.391
Ge 0.630 0.823 0.260
Ge 0.630 0.437 0.261
Ge 0.370 0.177 0.740
Ge 0.370 0.563 0.739
Dy 0.500 0.000 0.000

space-group type	No. 71
E_form	-5.45	eV per formula unit
Fermi-level density of states	7.05	states/eV per cell

=====

# 3
Sm5DyGe4 | PBE | relaxed

Lattice parameters (Å, degrees): 5.045 6.971 10.714 130.07 103.62 90.00
Atoms (fractional coordinates):
Dy 0.500 0.000 0.000
Sm 0.165 0.834 0.329
Sm 0.165 0.324 0.331
Sm 0.835 0.166 0.671
Sm 0.500 0.500 0.000
Sm 0.835 0.676 0.669
Ge 0.323 0.894 0.646
Ge 0.009 0.264 0.019
Ge 0.991 0.736 0.981
Ge 0.677 0.106 0.354

space-group type	No. 12
E_form	-6.29	eV per formula unit
Fermi-level density of states	5.70	states/eV per cell

=====

no.,volume (Å³/atom)
1,25.3
2,26.4
3,27.4